Density functional theory data (PBE) for an optimized crystal structure of ZnIn2Ru.

Cell and atoms, written as POSCAR:
```
ZnIn2Ru
1.0
3.3238 0.0000 0.0000
0.0000 3.3238 0.0000
0.0000 0.0000 6.9542
Zn In Ru
1 2 1
direct
0.0000 0.0000 0.0000
0.0000 0.0000 0.6000
0.5000 0.5000 0.2602
0.5000 0.5000 0.8364
```

Calculated values
SG: P4mm, No. 99
Size of the total moment in μB per atom: 0.00
D(E_F) in states/eV per cell: 1.406
Energy of formation in eV per atom: 0.090